Sm2AlCo5Si2: optimized geometry, GGA-PBE.

CIF file:
```
data_Sm2AlCo5Si2
_space_group_name_H-M_alt 'P 1'
_space_group_IT_number 1
_space_group_name_Hall 'P 1'
_cell_length_a 9.570
_cell_length_b 9.570
_cell_length_c 3.254
_cell_angle_alpha 90.00
_cell_angle_beta 90.00
_cell_angle_gamma 90.00
loop_
_atom_site_label
_atom_site_type_symbol
_atom_site_fract_x
_atom_site_fract_y
_atom_site_fract_z
Sm1 Sm 0.178 0.322 0.000
Sm2 Sm 0.322 0.822 0.000
Sm3 Sm 0.678 0.178 0.000
Sm4 Sm 0.822 0.678 0.000
Al1 Al 0.000 0.000 0.000
Al2 Al 0.500 0.500 0.000
Co1 Co 0.000 0.500 0.500
Co2 Co 0.065 0.782 0.500
Co3 Co 0.218 0.065 0.500
Co4 Co 0.282 0.565 0.500
Co5 Co 0.435 0.282 0.500
Co6 Co 0.500 0.000 0.500
Co7 Co 0.565 0.718 0.500
Co8 Co 0.718 0.435 0.500
Co9 Co 0.782 0.935 0.500
Co10 Co 0.935 0.218 0.500
Si1 Si 0.119 0.619 0.000
Si2 Si 0.381 0.119 0.000
Si3 Si 0.619 0.881 0.000
Si4 Si 0.881 0.381 0.000
```

## Properties
**V**: 14.90 Å³/atom
**E_form (uncorrected)**: -3.747 eV per formula unit
**Calculated density**: 7.6 g/cm3
**Calculated total energy**: -6.3304 eV/atom

=====

InRuBr2: optimized geometry, GGA-PBE.

CIF file:
```
data_InRuBr2
_space_group_name_H-M_alt 'P 1'
_space_group_IT_number 1
_space_group_name_Hall 'P 1'
_cell_length_a 5.187
_cell_length_b 5.187
_cell_length_c 5.187
_cell_angle_alpha 60.00
_cell_angle_beta 60.00
_cell_angle_gamma 60.00
loop_
_atom_site_label
_atom_site_type_symbol
_atom_site_fract_x
_atom_site_fract_y
_atom_site_fract_z
In1 In 0.000 0.000 0.000
Ru1 Ru 0.500 0.500 0.500
Br1 Br 0.250 0.250 0.250
Br2 Br 0.750 0.750 0.750
```

## Properties
**V**: 24.66 Å³/atom
**E_form (uncorrected)**: 1.873 eV per formula unit
**Calculated density**: 6.3 g/cm3
**Calculated total energy**: -3.3717 eV/atom

=====

Be2In2Ga: optimized geometry, GGA-PBE.

CIF file:
```
data_Be2In2Ga
_space_group_name_H-M_alt 'P 1'
_space_group_IT_number 1
_space_group_name_Hall 'P 1'
_cell_length_a 6.500
_cell_length_b 6.500
_cell_length_c 4.105
_cell_angle_alpha 90.00
_cell_angle_beta 90.00
_cell_angle_gamma 90.00
loop_
_atom_site_label
_atom_site_type_symbol
_atom_site_fract_x
_atom_site_fract_y
_atom_site_fract_z
Be1 Be 0.121 0.379 0.000
Be2 Be 0.379 0.879 0.000
Be3 Be 0.621 0.121 0.000
Be4 Be 0.879 0.621 0.000
In1 In 0.174 0.674 0.500
In2 In 0.326 0.174 0.500
In3 In 0.674 0.826 0.500
In4 In 0.826 0.326 0.500
Ga1 Ga 0.000 0.000 0.000
Ga2 Ga 0.500 0.500 0.000
```

## Properties
**V**: 17.34 Å³/atom
**ΔH_f (0 K)**: 0.358 eV per atom
**Calculated density**: 6.1 g/cm3
**Calculated total energy**: -2.8334 eV/atom

=====

YCuNi4Sn2: optimized geometry, GGA-PBE.

CIF file:
```
data_YCuNi4Sn2
_space_group_name_H-M_alt 'P 1'
_space_group_IT_number 1
_space_group_name_Hall 'P 1'
_cell_length_a 8.557
_cell_length_b 8.557
_cell_length_c 8.557
_cell_angle_alpha 28.74
_cell_angle_beta 28.74
_cell_angle_gamma 28.74
loop_
_atom_site_label
_atom_site_type_symbol
_atom_site_fract_x
_atom_site_fract_y
_atom_site_fract_z
Y1 Y 0.000 0.000 0.000
Cu1 Cu 0.500 0.500 0.500
Ni1 Ni 0.132 0.132 0.132
Ni2 Ni 0.402 0.402 0.402
Ni3 Ni 0.598 0.598 0.598
Ni4 Ni 0.868 0.868 0.868
Sn1 Sn 0.241 0.241 0.241
Sn2 Sn 0.759 0.759 0.759
```

## Properties
**V**: 16.01 Å³/atom
**ΔH_f (0 K)**: -0.277 eV per atom
**Calculated density**: 8.1 g/cm3
**Calculated total energy**: -5.4889 eV/atom

=====

RbFe2Cl: optimized geometry, GGA-PBE.

CIF file:
```
data_RbFe2Cl
_space_group_name_H-M_alt 'P 1'
_space_group_IT_number 1
_space_group_name_Hall 'P 1'
_cell_length_a 11.622
_cell_length_b 11.622
_cell_length_c 11.622
_cell_angle_alpha 157.15
_cell_angle_beta 157.15
_cell_angle_gamma 32.54
loop_
_atom_site_label
_atom_site_type_symbol
_atom_site_fract_x
_atom_site_fract_y
_atom_site_fract_z
Rb1 Rb 0.375 0.625 0.750
Rb2 Rb 0.625 0.375 0.250
Fe1 Fe 0.000 0.000 0.000
Fe2 Fe 0.000 0.000 0.500
Fe3 Fe 0.000 0.500 0.000
Fe4 Fe 0.500 0.000 0.500
Cl1 Cl 0.125 0.875 0.250
Cl2 Cl 0.875 0.125 0.750
```

## Properties
**V**: 29.57 Å³/atom
**E_form (uncorrected)**: 2.258 eV per formula unit
**Calculated density**: 3.3 g/cm3
**Calculated total energy**: -4.3704 eV/atom

=====

NaLaAu2: optimized geometry, GGA-PBE.

CIF file:
```
data_NaLaAu2
_space_group_name_H-M_alt 'P 1'
_space_group_IT_number 1
_space_group_name_Hall 'P 1'
_cell_length_a 5.172
_cell_length_b 5.172
_cell_length_c 5.172
_cell_angle_alpha 60.00
_cell_angle_beta 60.00
_cell_angle_gamma 60.00
loop_
_atom_site_label
_atom_site_type_symbol
_atom_site_fract_x
_atom_site_fract_y
_atom_site_fract_z
Na1 Na 0.000 0.000 0.000
La1 La 0.500 0.500 0.500
Au1 Au 0.250 0.250 0.250
Au2 Au 0.750 0.750 0.750
```

## Properties
**V**: 24.46 Å³/atom
**ΔH_f (0 K)**: -0.622 eV per atom
**Calculated density**: 9.4 g/cm3
**Calculated total energy**: -3.8221 eV/atom

=====

MgZn2Co: optimized geometry, GGA-PBE.

CIF file:
```
data_MgZn2Co
_space_group_name_H-M_alt 'P 1'
_space_group_IT_number 1
_space_group_name_Hall 'P 1'
_cell_length_a 3.018
_cell_length_b 3.018
_cell_length_c 6.362
_cell_angle_alpha 90.00
_cell_angle_beta 90.00
_cell_angle_gamma 90.00
loop_
_atom_site_label
_atom_site_type_symbol
_atom_site_fract_x
_atom_site_fract_y
_atom_site_fract_z
Mg1 Mg 0.000 0.000 0.000
Zn1 Zn 0.500 0.500 0.291
Zn2 Zn 0.500 0.500 0.709
Co1 Co 0.000 0.000 0.500
```

## Properties
**V**: 14.49 Å³/atom
**ΔH_f (0 K)**: -0.022 eV per atom
**Calculated density**: 6.1 g/cm3
**Calculated total energy**: -2.8342 eV/atom

=====

Y3Ag: optimized geometry, GGA-PBE.

CIF file:
```
data_Y3Ag
_space_group_name_H-M_alt 'P 1'
_space_group_IT_number 1
_space_group_name_Hall 'P 1'
_cell_length_a 6.175
_cell_length_b 9.205
_cell_length_c 9.206
_cell_angle_alpha 83.58
_cell_angle_beta 70.45
_cell_angle_gamma 70.45
loop_
_atom_site_label
_atom_site_type_symbol
_atom_site_fract_x
_atom_site_fract_y
_atom_site_fract_z
Y1 Y 0.000 0.000 0.000
Y2 Y 0.009 0.277 0.706
Y3 Y 0.078 0.630 0.761
Y4 Y 0.145 0.829 0.359
Y5 Y 0.343 0.447 0.347
Y6 Y 0.372 0.285 0.991
Y7 Y 0.477 0.647 0.946
Y8 Y 0.533 0.046 0.362
Y9 Y 0.656 0.991 0.715
Y10 Y 0.682 0.632 0.544
Y11 Y 0.868 0.644 0.162
Y12 Y 0.950 0.231 0.344
Ag1 Ag 0.223 0.922 0.651
Ag2 Ag 0.497 0.937 0.069
Ag3 Ag 0.512 0.340 0.637
Ag4 Ag 0.805 0.354 0.055
```

## Properties
**V**: 29.04 Å³/atom
**ΔH_f (0 K)**: -0.076 eV per atom
**Calculated density**: 5.4 g/cm3
**Calculated total energy**: -5.6371 eV/atom